Record 1
This record from OQMD describes a geometry-optimized Gd2TmIn3AgPd2 structure. The functional is PBE.

abc: 3.7999 7.8338 7.8338
angles: 119.81 90.00 90.00
Closest atoms and distances in Å follow each position.
Atoms (fractional coordinates):
Gd1 0.0000 0.2046 0.7954  4 Pd 3.05-3.06, 6 In 3.16-3.42, 1 Ag 3.21
Gd2 0.0000 0.7954 0.2046  4 Pd 3.05-3.06, 6 In 3.16-3.42, 1 Ag 3.21
Tm1 0.0000 0.6141 0.6141  4 Pd 3.01, 2 In 3.16, 1 Ag 3.21
In1 0.5000 0.2065 0.4734  2 Ag 2.83, 2 Pd 2.89-2.95, 2 Gd 3.16
In2 0.5000 0.4734 0.2065  2 Ag 2.83, 2 Pd 2.89-2.95, 2 Gd 3.16
In3 0.5000 0.9355 0.9355  2 Ag 2.85, 2 Pd 2.88, 2 Tm 3.16
Ag1 0.0000 0.2060 0.2060  6 In 2.83-2.85
Pd1 0.5000 0.5395 0.8678  3 In 2.88-2.95, 2 Tm 3.01, 4 Gd 3.05-3.06
Pd2 0.5000 0.8678 0.5395  3 In 2.88-2.95, 2 Tm 3.01, 4 Gd 3.05-3.06

Values from the calculation:
space group	No. 38



Record 2
This record from OQMD describes a geometry-optimized GdTm2In3AgPd2 structure. The functional is PBE.

abc: 3.7628 7.8310 7.8310
angles: 120.13 90.00 90.00
Closest atoms and distances in Å follow each position.
Atoms (fractional coordinates):
Gd1 0.0000 0.0000 0.0000  4 Pd 3.06, 6 In 3.15-3.39, 1 Ag 3.20
Tm1 0.0000 0.4080 0.8165  4 Pd 3.01, 2 In 3.14, 1 Ag 3.19
Tm2 0.0000 0.8165 0.4080  4 Pd 3.01, 2 In 3.14, 1 Ag 3.19
In1 0.5000 0.1391 0.4097  2 Ag 2.83, 2 Pd 2.85-2.91, 2 Tm 3.14
In2 0.5000 0.4097 0.1391  2 Ag 2.83, 2 Pd 2.85-2.91, 2 Tm 3.14
In3 0.5000 0.6772 0.6772  2 Ag 2.82, 2 Pd 2.92, 2 Gd 3.15
Ag1 0.0000 0.4091 0.4091  6 In 2.82-2.83
Pd1 0.5000 0.0765 0.7380  3 In 2.85-2.92, 4 Tm 3.01, 2 Gd 3.06
Pd2 0.5000 0.7380 0.0765  3 In 2.85-2.92, 4 Tm 3.01, 2 Gd 3.06

Values from the calculation:
space group	No. 38



Record 3
This record from OQMD describes a geometry-optimized GdY2In3AgPd2 structure. The functional is PBE.

abc: 3.8224 7.8314 7.8314
angles: 119.98 90.00 90.00
Closest atoms and distances in Å follow each position.
Atoms (fractional coordinates):
Gd1 0.0000 0.0000 0.0000  4 Pd 3.04, 2 In 3.17, 1 Ag 3.21
Y1 0.0000 0.4102 0.8203  4 Pd 3.04, 2 In 3.16, 1 Ag 3.21
Y2 0.0000 0.8203 0.4102  4 Pd 3.04, 2 In 3.16, 1 Ag 3.21
In1 0.5000 0.1425 0.4103  2 Ag 2.84, 2 Pd 2.90, 2 Y 3.16
In2 0.5000 0.4103 0.1425  2 Ag 2.84, 2 Pd 2.90, 2 Y 3.16
In3 0.5000 0.6778 0.6778  2 Ag 2.84, 2 Pd 2.90, 2 Gd 3.17
Ag1 0.0000 0.4102 0.4102  6 In 2.84
Pd1 0.5000 0.0769 0.7435  3 In 2.90, 4 Y 3.04, 2 Gd 3.04
Pd2 0.5000 0.7435 0.0769  3 In 2.90, 4 Y 3.04, 2 Gd 3.04

Values from the calculation:
space group	No. 38



Record 4
This record from OQMD describes a geometry-optimized Gd2YIn3AgPd2 structure. The functional is PBE.

abc: 3.8283 7.8407 7.8407
angles: 120.02 90.00 90.00
Closest atoms and distances in Å follow each position.
Atoms (fractional coordinates):
Gd1 0.0000 0.2051 0.7949  4 Pd 3.05, 2 In 3.17, 1 Ag 3.22
Gd2 0.0000 0.7949 0.2051  4 Pd 3.05, 2 In 3.17, 1 Ag 3.22
Y1 0.0000 0.6152 0.6152  4 Pd 3.05, 2 In 3.17, 1 Ag 3.21
In1 0.5000 0.2052 0.4728  2 Ag 2.84, 2 Pd 2.90-2.91, 2 Gd 3.17
In2 0.5000 0.4728 0.2052  2 Ag 2.84, 2 Pd 2.90-2.91, 2 Gd 3.17
In3 0.5000 0.9373 0.9373  2 Ag 2.84, 2 Pd 2.90, 2 Y 3.17
Ag1 0.0000 0.2051 0.2051  6 In 2.84
Pd1 0.5000 0.5385 0.8717  3 In 2.90-2.91, 4 Gd 3.05, 2 Y 3.05
Pd2 0.5000 0.8717 0.5385  3 In 2.90-2.91, 4 Gd 3.05, 2 Y 3.05

Values from the calculation:
space group	No. 38



| no. | volume (Å³/atom) | E (eV per atom) |
| --- | --- | --- |
| 1 | 22.48 | -4.597 |
| 2 | 22.18 | -4.573 |
| 3 | 22.56 | -5.029 |
| 4 | 22.64 | -4.825 |